Record 1
This record from Alexandria via LeMat-Bulk describes a relaxed TlCoNi crystal. The functional is PBE-GGA.

The structure belongs to space group Imm2 (No. 44); the cell edges are 3.060, 3.076 and 9.605 Å and the angles 90.00°, 90.00° and 90.00°. Symmetry generates all atoms from Tl at (0.000, 0.000, 0.000), Co at (0.000, 0.000, 0.309) and Ni at (0.000, 0.000, 0.688).

The value obtained for the energy relative to the lowest polymorph listed for this composition is 0 meV per atom. The calculation puts the calculated formation energy at 0.449 eV per atom.

***

Record 2
This record from Alexandria via LeMat-Bulk describes a relaxed Tl4CoNi crystal. The functional is PBE-GGA.

The structure belongs to space group F-43m (No. 216); the cell edges are 8.686, 8.686 and 8.686 Å and the angles 90.00°, 90.00° and 90.00°. Symmetry generates all atoms from Tl at (0.125, 0.125, 0.125), Co at (0.250, 0.250, 0.750) and Ni at (0.000, 0.000, 0.500).

The calculation puts the calculated formation energy at 1.089 eV per atom.

***

Record 3
This record from Alexandria via LeMat-Bulk describes a relaxed TlCoNi2 crystal. The functional is PBE-GGA.

The structure belongs to space group F-43m (No. 216); the cell edges are 6.032, 6.032 and 6.032 Å and the angles 90.00°, 90.00° and 90.00°. Symmetry generates all atoms from Tl at (0.000, 0.000, 0.000), Co at (0.250, 0.250, 0.250), Ni at (0.000, 0.000, 0.500) and Ni at (0.250, 0.250, 0.750).

The value obtained for the energy relative to the lowest polymorph listed for this composition is 49 meV per atom. The calculation puts the calculated formation energy at 0.367 eV per atom.

***

Record 4
This record from Alexandria via LeMat-Bulk describes a relaxed TlCo2Ni2 crystal. The functional is PBE-GGA.

The structure belongs to space group P4/mbm (No. 127); the cell edges are 6.976, 6.976 and 2.794 Å and the angles 90.00°, 90.00° and 90.00°. Symmetry generates all atoms from Tl at (0.000, 0.000, 0.000), Co at (0.166, 0.334, 0.500) and Ni at (0.123, 0.623, 0.000).

The value obtained for the energy relative to the lowest polymorph listed for this composition is 6 meV per atom. The calculation puts the calculated formation energy at 0.381 eV per atom.

***

VASP energy in eV for the cell shown, matching the order above: -27.81; -63.28; -78.26; -52.47
Spin magnetization in μB/f.u., matching the order above: 1.98; 2.61; 1.77; 4.77